Entry from the Alexandria database: a relaxed structure of Nd6HgBi2Te3 (GGA-PBE).

CIF file:
```
data_Nd6HgBi2Te3
_cell_length_a 19.768
_cell_length_b 4.504
_cell_length_c 9.132
_cell_angle_alpha 90.00
_cell_angle_beta 103.44
_cell_angle_gamma 90.00
_symmetry_space_group_name_H-M 'C 1 2/m 1'
_symmetry_Int_Tables_number 12
loop_
_symmetry_equiv_pos_as_xyz
'x,y,z'
'-x,-y,-z'
'-x,y,-z'
'x,-y,z'
'x+1/2,y+1/2,z'
'-x+1/2,-y+1/2,-z'
'-x+1/2,y+1/2,-z'
'x+1/2,-y+1/2,z'
loop_
_atom_site_label
_atom_site_fract_x
_atom_site_fract_y
_atom_site_fract_z
_atom_site_occupancy
Nd1 0.002 0.000 0.255 1
Nd2 0.163 0.500 0.582 1
Nd3 0.168 0.500 0.082 1
Hg1 0.000 0.500 0.500 1
Bi1 0.165 0.000 0.833 1
Te1 0.000 0.500 0.000 1
Te2 0.170 0.000 0.334 1
```

- Raw formation energy: -1110 meV/atom
- Fermi-level density of states: 5.6 states/eV/f.u.

***

Entry from the Alexandria database: a relaxed structure of IrCl (GGA-PBE).

CIF file:
```
data_IrCl
_cell_length_a 5.463
_cell_length_b 5.463
_cell_length_c 5.463
_cell_angle_alpha 90.00
_cell_angle_beta 90.00
_cell_angle_gamma 90.00
_symmetry_space_group_name_H-M 'F -4 3 m'
_symmetry_Int_Tables_number 216
_symmetry_space_group_name_Hall 'F -4 2 3'
loop_
_atom_site_label
_atom_site_fract_x
_atom_site_fract_y
_atom_site_fract_z
_atom_site_occupancy
Ir1 0.000 0.000 0.000 1
Cl1 0.250 0.250 0.250 1
```

- Raw formation energy: 1323 meV/atom
- Fermi-level density of states: 3.4 states/eV/f.u.